[1]
{"formula": "K5BrF4", "functional": "GGA-PBE", "state": "optimized geometry", "sg": "C2/m (12)", "formation_energy_uncorrected_ev_per_atom": -2.488, "lattice_angstrom": [[6.452, -1.976, 0.000], [6.452, 1.976, 0.000], [-4.629, 0.000, 9.460]], "species": ["K", "K", "K", "K", "K", "Br", "F", "F", "F", "F"], "frac_coords": [[0.000, 0.000, 0.000], [0.211, 0.211, 0.828], [0.404, 0.404, 0.664], [0.596, 0.596, 0.336], [0.789, 0.789, 0.172], [0.000, 0.000, 0.500], [0.179, 0.179, 0.247], [0.398, 0.398, 0.091], [0.602, 0.602, 0.909], [0.821, 0.821, 0.753]]}

---

[2]
{"formula": "K2BrF", "functional": "GGA-PBE", "state": "optimized geometry", "polymorph_energy_mev_per_atom": 38, "sg": "R-3m (166)", "formation_energy_uncorrected_ev_per_atom": -2.174, "lattice_angstrom": [[2.119, 1.224, 7.139], [-2.119, 1.224, 7.139], [0.000, -2.447, 7.139]], "species": ["K", "K", "Br", "F"], "frac_coords": [[0.234, 0.234, 0.234], [0.766, 0.766, 0.766], [0.000, 0.000, 0.000], [0.500, 0.500, 0.500]]}

---

[3]
{"formula": "KBrF3", "functional": "GGA-PBE", "state": "optimized geometry", "polymorph_energy_mev_per_atom": 158, "sg": "R3m (160)", "formation_energy_uncorrected_ev_per_atom": -1.185, "lattice_angstrom": [[3.593, 2.074, 3.257], [-3.593, 2.074, 3.257], [0.000, -4.149, 3.257]], "species": ["K", "Br", "F", "F", "F"], "frac_coords": [[0.000, 0.000, 0.000], [0.651, 0.651, 0.651], [0.496, 0.926, 0.926], [0.926, 0.496, 0.926], [0.926, 0.926, 0.496]]}

---

[4]
{"formula": "KBrF2", "functional": "GGA-PBE", "state": "optimized geometry", "polymorph_energy_mev_per_atom": 0, "sg": "R-3m (166)", "formation_energy_uncorrected_ev_per_atom": -1.781, "lattice_angstrom": [[2.158, 1.246, 6.187], [-2.158, 1.246, 6.187], [0.000, -2.492, 6.187]], "species": ["K", "Br", "F", "F"], "frac_coords": [[0.000, 0.000, 0.000], [0.500, 0.500, 0.500], [0.392, 0.392, 0.392], [0.608, 0.608, 0.608]]}

---

[5]
{"formula": "KBr2F", "functional": "GGA-PBE", "state": "optimized geometry", "sg": "I-42d (122)", "formation_energy_uncorrected_ev_per_atom": -1.002, "lattice_angstrom": [[-2.325, 2.325, 13.877], [2.325, -2.325, 13.877], [2.325, 2.325, -13.877]], "species": ["K", "K", "Br", "Br", "Br", "Br", "F", "F"], "frac_coords": [[0.000, 0.000, 0.000], [0.750, 0.250, 0.500], [0.289, 0.625, 0.164], [0.375, 0.539, 0.664], [0.461, 0.125, 0.836], [0.875, 0.711, 0.336], [0.250, 0.750, 0.500], [0.500, 0.500, 0.000]]}

---

[6]
{"formula": "KBrF4", "functional": "GGA-PBE", "state": "optimized geometry", "polymorph_energy_mev_per_atom": 382, "sg": "I4/mcm (140)", "formation_energy_uncorrected_ev_per_atom": -1.303, "lattice_angstrom": [[-3.022, 3.022, 6.288], [3.022, -3.022, 6.288], [3.022, 3.022, -6.288]], "species": ["K", "K", "Br", "Br", "F", "F", "F", "F", "F", "F", "F", "F"], "frac_coords": [[0.000, 0.000, 0.000], [0.500, 0.500, 0.000], [0.250, 0.750, 0.500], [0.750, 0.250, 0.500], [0.027, 0.527, 0.804], [0.223, 0.027, 0.500], [0.277, 0.777, 0.804], [0.473, 0.277, 0.500], [0.527, 0.723, 0.500], [0.723, 0.223, 0.196], [0.777, 0.973, 0.500], [0.973, 0.473, 0.196]]}